1.
# Tc2GeRhI (PBE-GGA, optimized geometry)
data_Tc2GeRhI
_chemical_formula_sum 'Tc2 Ge1 Rh1 I1'
_cell_length_a 4.804
_cell_length_b 4.804
_cell_length_c 5.251
_cell_angle_alpha 90.00
_cell_angle_beta 90.00
_cell_angle_gamma 90.00
_symmetry_space_group_name_H-M 'P 4/m m m'
_symmetry_Int_Tables_number 123
_symmetry_space_group_name_Hall '-P 4 2'
loop_
_atom_site_label
_atom_site_fract_x
_atom_site_fract_y
_atom_site_fract_z
Tc1 0.000 0.500 0.000
Ge1 0.000 0.000 0.500
Rh1 0.500 0.500 0.500
I1 0.000 0.000 0.000
# Formation energy without anion corrections: 2.2312 eV per atom

2.
# NpCoPt2 (PBE-GGA, optimized geometry)
data_NpCoPt2
_chemical_formula_sum 'Np1 Co1 Pt2'
_cell_length_a 3.965
_cell_length_b 3.965
_cell_length_c 4.223
_cell_angle_alpha 90.00
_cell_angle_beta 90.00
_cell_angle_gamma 90.00
_symmetry_space_group_name_H-M 'P 4/m m m'
_symmetry_Int_Tables_number 123
_symmetry_space_group_name_Hall '-P 4 2'
loop_
_atom_site_label
_atom_site_fract_x
_atom_site_fract_y
_atom_site_fract_z
Np1 0.000 0.000 0.000
Co1 0.500 0.500 0.000
Pt1 0.000 0.500 0.500
# ΔH_f (0 K): -37.00 kJ/mol of atoms

3.
# LaBi2Rh2 (PBE-GGA, optimized geometry)
data_LaBi2Rh2
_chemical_formula_sum 'La2 Bi4 Rh4'
_cell_length_a 4.953
_cell_length_b 4.953
_cell_length_c 9.938
_cell_angle_alpha 90.00
_cell_angle_beta 90.00
_cell_angle_gamma 90.00
_symmetry_space_group_name_H-M 'I 4/m m m'
_symmetry_Int_Tables_number 139
_symmetry_space_group_name_Hall '-I 4 2'
loop_
_atom_site_label
_atom_site_fract_x
_atom_site_fract_y
_atom_site_fract_z
La1 0.000 0.000 0.000
Bi1 0.000 0.500 0.250
Rh1 0.000 0.000 0.369
# ΔH_f (0 K): -39.90 kJ/mol of atoms

4.
# SrTcCl2 (PBE-GGA, optimized geometry)
data_SrTcCl2
_chemical_formula_sum 'Sr3 Tc3 Cl6'
_cell_length_a 3.8289
_cell_length_b 3.8289
_cell_length_c 26.0015
_cell_angle_alpha 90.00
_cell_angle_beta 90.00
_cell_angle_gamma 120.00
_symmetry_space_group_name_H-M 'R 3 m'
_symmetry_Int_Tables_number 160
_symmetry_space_group_name_Hall 'R 3 -2"'
loop_
_atom_site_label
_atom_site_fract_x
_atom_site_fract_y
_atom_site_fract_z
Sr1 0.0000 0.0000 0.0000
Tc1 0.0000 0.0000 0.2322
Cl1 0.0000 0.0000 0.5375
Cl2 0.0000 0.0000 0.7351
# Formation energy without anion corrections: -0.4929 eV per atom
# Excess energy over the best structure of this formula in the dataset: 43 meV/atom

Computed values of raw total energy (unit: eV per atom) for the preceding records, in sequence: -4.619; -8.416; -5.892; -4.428.
Computed values of Fermi-level density of states (unit: states/eV/atom) for the preceding records, in sequence: 1.442; 2.655; 0.710; 0.117.